PBE CrSbTe2, relaxed; magnetic moment = 3.99 μB/f.u.; crystal system = cubic; ΔE to the lowest computed polymorph = 0.543 eV per atom; E_form (uncorrected) = 0.53 eV/atom; E = -0.32886 Ry/atom
1.0
0.000 3.703 3.703
3.703 0.000 3.703
3.703 3.703 0.000
Cr Sb Te
1 1 2
direct
0.000 0.000 0.000
0.250 0.250 0.250
0.500 0.500 0.500
0.750 0.750 0.750


PBE CrSbTe2, relaxed; magnetic moment = 0.00 μB/f.u.; crystal system = tetragonal; ΔE to the lowest computed polymorph = 0.265 eV per atom; E_form (uncorrected) = 0.25 eV/atom; E = -0.34929 Ry/atom
1.0
3.173 0.000 0.000
0.000 3.173 0.000
0.000 0.000 9.734
Cr Sb Te
1 1 2
direct
0.000 0.000 0.000
0.000 0.000 0.500
0.500 0.500 0.167
0.500 0.500 0.833


PBE Cr2SbTe, relaxed; magnetic moment = 7.77 μB/f.u.; crystal system = cubic; ΔE to the lowest computed polymorph = 0.756 eV per atom; E_form (uncorrected) = 0.78 eV/atom; E = -0.42973 Ry/atom
1.0
0.000 3.548 3.548
3.548 0.000 3.548
3.548 3.548 0.000
Cr Sb Te
2 1 1
direct
0.000 0.000 0.000
0.250 0.250 0.250
0.500 0.500 0.500
0.750 0.750 0.750


PBE CrSbTe2, relaxed; magnetic moment = 3.42 μB/f.u.; crystal system = orthorhombic; ΔE to the lowest computed polymorph = 0.046 eV per atom; E_form (uncorrected) = 0.04 eV/atom; E = -0.36540 Ry/atom
1.0
-1.957 2.359 6.623
1.957 -2.359 6.623
1.957 2.359 -6.623
Cr Sb Te
1 1 2
direct
0.000 0.000 0.000
0.500 0.500 0.000
0.150 0.650 0.500
0.850 0.350 0.500


PBE Cr2SbTe, relaxed; magnetic moment = 7.00 μB/f.u.; crystal system = tetragonal; ΔE to the lowest computed polymorph = 0.321 eV per atom; E_form (uncorrected) = 0.35 eV/atom; E = -0.46168 Ry/atom
1.0
-3.318 3.318 5.168
3.318 -3.318 5.168
3.318 3.318 -5.168
Cr Sb Te
4 2 2
direct
0.124 0.625 0.999
0.375 0.374 0.499
0.626 0.125 0.001
0.875 0.876 0.501
0.000 0.000 0.000
0.750 0.250 0.500
0.250 0.750 0.500
0.500 0.500 0.000


PBE Cr2SbTe, relaxed; magnetic moment = 6.65 μB/f.u.; crystal system = hexagonal; ΔE to the lowest computed polymorph = 0.000 eV per atom; E_form (uncorrected) = 0.03 eV/atom; E = -0.48527 Ry/atom
1.0
4.051 0.000 0.000
-2.025 3.508 0.000
0.000 0.000 6.099
Cr Sb Te
2 1 1
direct
0.000 0.000 0.245
0.000 0.000 0.755
0.667 0.333 0.000
0.333 0.667 0.500


PBE Cr2Sb2Te, relaxed; magnetic moment = 7.26 μB/f.u.; crystal system = tetragonal; E_form (uncorrected) = 0.36 eV/atom; E = -0.42386 Ry/atom
1.0
-2.109 2.109 6.772
2.109 -2.109 6.772
2.109 2.109 -6.772
Cr Sb Te
2 2 1
direct
0.106 0.106 0.000
0.894 0.894 0.000
0.250 0.750 0.500
0.750 0.250 0.500
0.500 0.500 0.000


PBE Cr2SbTe, relaxed; magnetic moment = 7.03 μB/f.u.; crystal system = trigonal; ΔE to the lowest computed polymorph = 0.111 eV per atom; E_form (uncorrected) = 0.14 eV/atom; E = -0.47715 Ry/atom
1.0
1.988 1.148 6.514
-1.988 1.148 6.514
0.000 -2.296 6.514
Cr Sb Te
2 1 1
direct
0.247 0.247 0.247
0.753 0.753 0.753
0.500 0.500 0.500
0.000 0.000 0.000


PBE CrSbTe2, relaxed; magnetic moment = 2.90 μB/f.u.; crystal system = trigonal; ΔE to the lowest computed polymorph = 0.000 eV per atom; E_form (uncorrected) = -0.01 eV/atom; E = -0.36877 Ry/atom
1.0
1.910 1.103 9.220
-1.910 1.103 9.220
0.000 -2.206 9.220
Cr Sb Te
1 1 2
direct
0.000 0.000 0.000
0.500 0.500 0.500
0.389 0.389 0.389
0.611 0.611 0.611


PBE CrSbTe, relaxed; magnetic moment = 2.29 μB/f.u.; crystal system = trigonal; ΔE to the lowest computed polymorph = 0.000 eV per atom; E_form (uncorrected) = 0.09 eV/atom; E = -0.40739 Ry/atom
1.0
3.674 0.000 0.000
-1.837 3.181 0.000
0.000 0.000 6.226
Cr Sb Te
1 1 1
direct
0.000 0.000 0.000
0.667 0.333 0.283
0.333 0.667 0.744


PBE CrSbTe2, relaxed; magnetic moment = 0.01 μB/f.u.; crystal system = trigonal; ΔE to the lowest computed polymorph = 0.198 eV per atom; E_form (uncorrected) = 0.19 eV/atom; E = -0.35424 Ry/atom
1.0
1.738 1.003 9.365
-1.738 1.003 9.365
0.000 -2.007 9.365
Cr Sb Te
1 1 2
direct
0.000 0.000 0.000
0.730 0.730 0.730
0.274 0.274 0.274
0.485 0.485 0.485


PBE CrSbTe2, relaxed; magnetic moment = 3.99 μB/f.u.; crystal system = tetragonal; ΔE to the lowest computed polymorph = 0.149 eV per atom; E_form (uncorrected) = 0.14 eV/atom; E = -0.35782 Ry/atom
1.0
-3.050 3.050 2.979
3.050 -3.050 2.979
3.050 3.050 -2.979
Cr Sb Te
1 1 2
direct
0.000 0.000 0.000
0.500 0.500 0.000
0.000 0.500 0.500
0.500 0.000 0.500